Entry 1:
ScCuSe3: single point on PBEsol structure, meta-GGA SCAN.

Unit cell a=4.6926 b=4.6926 c=4.6926 alpha=90.00 beta=90.00 gamma=90.00
Last column: nearest neighbours and their distance in Å.
Fractional positions:
Sc  0.5000  0.5000  0.5000  12 Se 3.32
Cu  0.0000  0.0000  0.0000  6 Se 2.35
Se  0.0000  0.5000  0.0000  2 Cu 2.35
Se  0.0000  0.0000  0.5000  2 Cu 2.35
Se  0.5000  0.0000  0.0000  2 Cu 2.35

As for the formation energy from raw total energies: -24.2 kJ/mol of atoms. The calculation puts the density of states at the Fermi level at 2.7 states/eV/f.u. Its total magnetization is 0.00 Bohr magnetons per cell. The crystal system is cubic. The energy is -18.185 eV per atom. The calculation puts the calculated density at 5.55 Mg/m³.



Entry 2:
Nb2PbO6: single point on PBEsol structure, meta-GGA SCAN.

Unit cell a=3.9149 b=12.8410 c=12.8721 alpha=91.54 beta=90.00 gamma=90.00
Last column: nearest neighbours and their distance in Å.
Fractional positions:
Nb  0.0000  0.0618  0.2955  5 O 1.84-2.00
Nb  0.0000  0.7112  0.9325  5 O 1.85-2.02
Nb  0.0000  0.7891  0.4372  4 O 1.84-2.01
Nb  0.0000  0.5690  0.2174  4 O 1.82-2.01
Nb  0.0000  0.9152  0.7093  5 O 1.85-2.06
Nb  0.0000  0.2812  0.0848  4 O 1.85-2.01
Nb  0.0000  0.4962  0.5029  6 O 1.91-2.11
Nb  0.0000  0.1999  0.5759  5 O 1.83-2.03
Nb  0.0000  0.4168  0.7865  4 O 1.88-1.99
Nb  0.0000  0.0015  0.0025  5 O 1.89-2.10
Pb  0.5000  0.2766  0.3742  6 O 2.49-2.61
Pb  0.5000  0.6282  0.7240  6 O 2.50-2.64
Pb  0.5000  0.1139  0.8167  4 O 2.37-2.52
Pb  0.5000  0.7988  0.2163  4 O 2.36-2.61
Pb  0.5000  0.4866  0.0054  5 O 2.41-2.64
O  0.5000  0.9435  0.7150  2 Nb 1.99
O  0.5000  0.3129  0.0726  2 Nb 2.01
O  0.0000  0.2901  0.7067  2 Nb 1.90-2.02
O  0.5000  0.2168  0.5568  2 Nb 1.99
O  0.5000  0.4450  0.7858  2 Nb 1.99
O  0.0000  0.0774  0.6447  1 Nb 1.83
O  0.0000  0.3730  0.9249  1 Nb 1.88
O  0.0000  0.8681  0.5638  2 Nb 1.90-1.95
O  0.0000  0.4462  0.1255  2 Nb 1.95-2.17
O  0.0000  0.3478  0.4883  1 Nb 1.91
O  0.0000  0.5081  0.6521  2 Nb 1.92-2.12
O  0.5000  0.7959  0.4030  2 Nb 2.01
O  0.5000  0.5959  0.1972  2 Nb 2.01
O  0.5000  0.5061  0.4945  2 Nb 1.96
O  0.0000  0.0103  0.1490  2 Nb 1.89-1.98
O  0.0000  0.8535  0.9930  2 Nb 1.90-1.97
O  0.0000  0.6599  0.4951  1 Nb 1.84
O  0.0000  0.5005  0.3395  1 Nb 1.82
O  0.0000  0.1539  0.4235  2 Nb 2.00-2.03
O  0.0000  0.5799  0.8424  2 Nb 2.02-2.20
O  0.0000  0.9279  0.3430  1 Nb 1.84
O  0.0000  0.6484  0.0601  1 Nb 1.85
O  0.0000  0.7197  0.2786  2 Nb 2.07-2.20
O  0.0000  0.2226  0.2141  1 Nb 1.85
O  0.0000  0.7877  0.7732  1 Nb 1.85
O  0.5000  0.0881  0.2936  2 Nb 1.99
O  0.5000  0.7113  0.9067  2 Nb 1.99
O  0.0000  0.0129  0.8388  2 Nb 2.06-2.12
O  0.0000  0.1646  0.9944  1 Nb 1.87
O  0.5000  0.0178  0.9798  2 Nb 1.99

As for the formation energy from raw total energies: -235.0 kJ/mol of atoms. The calculation puts the density of states at the Fermi level at 0.0 states/eV/f.u. Its total magnetization is 0.00 Bohr magnetons per cell. The crystal system is monoclinic. The energy is -22.372 eV per atom. The calculation puts the calculated density at 6.28 Mg/m³.



Entry 3:
FeTcSeN2: single point on PBEsol structure, meta-GGA SCAN.

Unit cell a=3.7368 b=3.7368 c=5.2601 alpha=90.00 beta=90.00 gamma=90.00
Last column: nearest neighbours and their distance in Å.
Fractional positions:
N  0.0000  0.5000  0.0000  2 Tc 1.87
N  0.5000  0.0000  0.0000  2 Tc 1.87
Tc  0.0000  0.0000  0.0000  4 N 1.87
Se  0.0000  0.0000  0.5000  2 Tc 2.63, 4 Fe 2.64
Fe  0.5000  0.5000  0.5000  4 Se 2.64

As for the formation energy from raw total energies: 57.6 kJ/mol of atoms. The calculation puts the density of states at the Fermi level at 6.3 states/eV/f.u. Its total magnetization is 3.42 Bohr magnetons per cell. The crystal system is tetragonal. The energy is -17.773 eV per atom. The calculation puts the calculated density at 5.90 Mg/m³.



Entry 4:
ScIr2Os: single point on PBEsol structure, meta-GGA SCAN.

Unit cell a=4.4290 b=4.4290 c=4.4290 alpha=60.00 beta=60.00 gamma=60.00
Last column: nearest neighbours and their distance in Å.
Fractional positions:
Ir  0.2500  0.2500  0.2500  4 Os 2.71, 4 Sc 2.71
Ir  0.7500  0.7500  0.7500  4 Sc 2.71, 4 Os 2.71
Os  0.0000  0.0000  0.0000  8 Ir 2.71
Sc  0.5000  0.5000  0.5000  8 Ir 2.71

The calculation puts the density of states at the Fermi level at 3.5 states/eV/f.u. Its total magnetization is 3.12 Bohr magnetons per cell. The crystal system is cubic. The energy is -57.105 eV per atom. The calculation puts the calculated density at 16.75 Mg/m³.



Entry 5:
CaZrSi: single point on PBEsol structure, meta-GGA SCAN.

Unit cell a=3.2613 b=3.2613 c=7.3577 alpha=90.00 beta=90.00 gamma=120.00
Last column: nearest neighbours and their distance in Å.
Fractional positions:
Ca  0.0000  0.0000  0.9686  3 Si 2.96, 6 Ca 3.26
Si  0.3333  0.6667  0.6575  3 Zr 2.81, 3 Ca 2.96
Zr  0.6667  0.3333  0.3739  3 Si 2.81

As for the formation energy from raw total energies: 7.8 kJ/mol of atoms. The calculation puts the density of states at the Fermi level at 2.0 states/eV/f.u. Its total magnetization is 0.25 Bohr magnetons per cell. The crystal system is trigonal. The energy is -16.712 eV per atom. The calculation puts the calculated density at 3.91 Mg/m³.



Entry 6:
Cr2CdW: single point on PBEsol structure, meta-GGA SCAN.

Unit cell a=2.6587 b=2.6587 c=8.6773 alpha=90.00 beta=90.00 gamma=109.34
Last column: nearest neighbours and their distance in Å.
Fractional positions:
Cd  0.5000  0.5000  0.0000  4 Cd 2.66, 4 Cr 2.79
Cr  0.0000  0.0000  0.2680  2 W 2.53, 4 Cr 2.66, 2 Cd 2.79
Cr  0.0000  0.0000  0.7320  2 W 2.53, 4 Cr 2.66, 2 Cd 2.79
W  0.5000  0.5000  0.5000  4 Cr 2.53, 4 W 2.66

The calculation puts the density of states at the Fermi level at 2.9 states/eV/f.u. Its total magnetization is 0.00 Bohr magnetons per cell. The crystal system is orthorhombic. The energy is -33.808 eV per atom. The calculation puts the calculated density at 11.48 Mg/m³.